No. 1
Compound: HfZr2Pb
Source: the Open Quantum Materials Database
Functional: PBE-GGA
Structure: relaxed

Cell: 5.0333 5.0333 5.0333 Å, 60.00 60.00 60.00°
Element x y z (fractional)
Hf1 0.0000 0.0000 0.0000
Zr1 0.2500 0.2500 0.2500
Zr2 0.5000 0.5000 0.5000
Pb1 0.7500 0.7500 0.7500

Computed properties:
Crystal system   cubic
Space group   F-43m
Energy   -7.63 eV per atom

No. 2
Compound: Si64Pt
Source: the Open Quantum Materials Database
Functional: PBE-GGA
Structure: relaxed

Cell: 10.9691 10.9691 10.9691 Å, 90.02 90.02 90.02°
Element x y z (fractional)
Si1 0.0613 0.5603 0.8118
Si2 0.0613 0.8118 0.5603
Si3 0.0617 0.0617 0.3157
Si4 0.0617 0.3157 0.0617
Si5 0.0636 0.3135 0.5632
Si6 0.0636 0.5632 0.3135
Si7 0.0667 0.0667 0.8002
Si8 0.0667 0.8002 0.0667
Si9 0.1840 0.1840 0.1840
Si10 0.1844 0.6841 0.6841
Si11 0.1876 0.4360 0.4360
Si12 0.1882 0.4397 0.9387
Si13 0.1882 0.9387 0.4397
Si14 0.1936 0.1936 0.6873
Si15 0.1936 0.6873 0.1936
Si16 0.1998 0.9333 0.9333
Si17 0.3096 0.3096 0.3096
Si18 0.3125 0.5610 0.5610
Si19 0.3135 0.0636 0.5632
Si20 0.3135 0.5632 0.0636
Si21 0.3127 0.8064 0.8064
Si22 0.3157 0.0617 0.0617
Si23 0.3159 0.3159 0.8156
Si24 0.3159 0.8156 0.3159
Si25 0.4360 0.1876 0.4360
Si26 0.4360 0.4360 0.1876
Si27 0.4368 0.6865 0.9364
Si28 0.4368 0.9364 0.6865
Si29 0.4390 0.4390 0.6875
Si30 0.4390 0.6875 0.4390
Si31 0.4397 0.1882 0.9387
Si32 0.4397 0.9387 0.1882
Si33 0.5603 0.0613 0.8118
Si34 0.5603 0.8118 0.0613
Si35 0.5610 0.3125 0.5610
Si36 0.5610 0.5610 0.3125
Si37 0.5632 0.0636 0.3135
Si38 0.5632 0.3135 0.0636
Si39 0.5640 0.5640 0.8124
Si40 0.5640 0.8124 0.5640
Si41 0.6841 0.1844 0.6841
Si42 0.6841 0.6841 0.1844
Si43 0.6843 0.9383 0.9383
Si44 0.6873 0.1936 0.1936
Si45 0.6865 0.4368 0.9364
Si46 0.6865 0.9364 0.4368
Si47 0.6875 0.4390 0.4390
Si48 0.6904 0.6904 0.6904
Si49 0.8002 0.0667 0.0666
Si50 0.8064 0.3127 0.8064
Si51 0.8064 0.8064 0.3127
Si52 0.8118 0.0613 0.5603
Si53 0.8118 0.5603 0.0613
Si54 0.8124 0.5640 0.5640
Si55 0.8156 0.3159 0.3159
Si56 0.8160 0.8160 0.8160
Si57 0.9333 0.1998 0.9333
Si58 0.9333 0.9334 0.1998
Si59 0.9364 0.4368 0.6865
Si60 0.9364 0.6865 0.4368
Si61 0.9383 0.6843 0.9383
Si62 0.9383 0.9383 0.6843
Si63 0.9387 0.1882 0.4397
Si64 0.9387 0.4397 0.1882
Pt1 0.0000 0.0000 0.0000

Computed properties:
Crystal system   trigonal
Excess energy over the best structure of this formula in the dataset   0 meV per atom
Space group   R-3m

No. 3
Compound: LuBeFe
Source: the Open Quantum Materials Database
Functional: PBE-GGA
Structure: relaxed

Cell: 4.3588 4.3588 4.3588 Å, 60.00 60.00 60.00°
Element x y z (fractional)
Lu1 0.0000 0.0000 0.0000
Be1 0.7500 0.7500 0.7500
Fe1 0.2500 0.2500 0.2500

Computed properties:
Crystal system   cubic
Space group   F-43m
Energy   -4.38 eV per atom

No. 4
Compound: NaNdBeTe3
Source: the Open Quantum Materials Database
Functional: PBE-GGA
Structure: relaxed

Cell: 7.5217 7.5217 11.9490 Å, 90.00 90.00 147.00°
Element x y z (fractional)
Na1 0.2453 0.7547 0.7500
Na2 0.7547 0.2453 0.2500
Nd1 0.0000 0.0000 0.0000
Nd2 0.0000 0.0000 0.5000
Be1 0.4645 0.5355 0.2500
Be2 0.5355 0.4645 0.7500
Te1 0.0722 0.9278 0.2500
Te2 0.3584 0.6416 0.0865
Te3 0.3584 0.6416 0.4135
Te4 0.6416 0.3584 0.5865
Te5 0.6416 0.3584 0.9135
Te6 0.9278 0.0722 0.7500

Computed properties:
Crystal system   orthorhombic
Space group   Cmcm
Energy   -4.13 eV per atom

No. 5
Compound: NdHfPd
Source: the Open Quantum Materials Database
Functional: PBE-GGA
Structure: relaxed

Cell: 4.7293 4.7293 4.7293 Å, 60.00 60.00 60.00°
Element x y z (fractional)
Nd1 0.0000 0.0000 0.0000
Hf1 0.7500 0.7500 0.7500
Pd1 0.2500 0.2500 0.2500

Computed properties:
Crystal system   cubic
Excess energy over the best structure of this formula in the dataset   711 meV per atom
E_form   0.646 eV per atom
Space group   F-43m

No. 6
Compound: KFeCuS3
Source: the Open Quantum Materials Database
Functional: PBE-GGA
Structure: relaxed

Cell: 13.9986 3.5489 9.3261 Å, 90.00 90.00 90.00°
Element x y z (fractional)
K1 0.2380 0.2500 0.0527
K2 0.2620 0.7500 0.5527
K3 0.7380 0.2500 0.4473
K4 0.7620 0.7500 0.9473
Fe1 0.0137 0.2500 0.3363
Fe2 0.4863 0.7500 0.8363
Fe3 0.5137 0.2500 0.1637
Fe4 0.9863 0.7500 0.6637
Cu1 0.0134 0.7500 0.0961
Cu2 0.4866 0.2500 0.5961
Cu3 0.5134 0.7500 0.4039
Cu4 0.9866 0.2500 0.9039
S1 0.0709 0.2500 0.5673
S2 0.0868 0.7500 0.8620
S3 0.1170 0.7500 0.2792
S4 0.3830 0.2500 0.7792
S5 0.4132 0.2500 0.3620
S6 0.4291 0.7500 0.0673
S7 0.5709 0.2500 0.9327
S8 0.5868 0.7500 0.6380
S9 0.6170 0.7500 0.2208
S10 0.8830 0.2500 0.7208
S11 0.9132 0.2500 0.1380
S12 0.9291 0.7500 0.4327

Computed properties:
Crystal system   orthorhombic
Space group   Pnma
Energy   -4.78 eV per atom